Entry 1:
Entry from the Alexandria database: an optimized crystal structure of BeSi2Pb (PBE-GGA).

Output
The formation energy (no corrections) is 80 kJ per mole of atoms. For the offset from the most stable computed form, the calculation gives 45.3 kJ per mole of atoms. As for the calculated total energy: -15.0 eV/f.u.

```
BeSi2Pb
1.0
2.5783 -3.8097 0.0000
2.5783 3.8097 0.0000
0.0000 0.0000 3.8899
Be Si Pb
1 2 1
Cartesian
0.0000 0.0000 0.0000 Be
1.2892 1.9048 1.9450 Si
1.2892 -1.9048 1.9450 Si
2.5783 0.0000 0.0000 Pb
```


Entry 2:
Entry from the Alexandria database: an optimized crystal structure of BaNaZr3 (PBE-GGA).

Output
Its energy of formation is 1316 meV/atom. For the offset from the most stable computed form, the calculation gives 0.0 kJ per mole of atoms. As for the calculated total energy: -22.3 eV/f.u.

```
BaNaZr3
1.0
5.3270 0.0000 0.0000
0.0000 5.3270 0.0000
0.0000 0.0000 5.3270
Ba Na Zr
1 1 3
Cartesian
0.0000 0.0000 0.0000 Ba
2.6635 2.6635 2.6635 Na
0.0000 2.6635 2.6635 Zr
2.6635 0.0000 2.6635 Zr
2.6635 2.6635 0.0000 Zr
```


Entry 3:
Entry from the Alexandria database: an optimized crystal structure of WAu3 (PBE-GGA).

Output
Its energy of formation is 250 meV/atom. As for the calculated total energy: -21.8 eV/f.u.

```
WAu3
1.0
2.9049 0.0000 0.0000
-1.4525 2.5157 0.0000
0.0000 0.0000 9.5350
W Au
1 3
Cartesian
0.0000 0.0000 0.0000 W
0.0000 0.0000 4.7675 Au
1.4525 0.8386 2.2941 Au
1.4525 0.8386 7.2409 Au
```


Entry 4:
Entry from the Alexandria database: an optimized crystal structure of Be2TcRh (PBE-GGA).

Output
Its energy of formation is -207 meV/atom. For the offset from the most stable computed form, the calculation gives 11.4 kJ per mole of atoms. As for the calculated total energy: -26.0 eV/f.u.

```
Be2TcRh
1.0
4.3159 -1.3466 0.0000
4.3159 1.3466 0.0000
-1.3074 0.0000 3.8761
Be Tc Rh
2 1 1
Cartesian
0.0000 0.0000 0.0000 Be
5.8318 0.0000 1.1326 Be
3.4972 0.0000 1.8541 Tc
1.0662 0.0000 3.1969 Rh
```


Entry 5:
Entry from the Alexandria database: an optimized crystal structure of Sm8Hg4CSe3 (PBE-GGA).

Output
The formation energy (no corrections) is -88 kJ per mole of atoms. As for the calculated total energy: -73.2 eV/f.u.

```
Sm8Hg4CSe3
1.0
4.0480 2.3371 7.6617
-4.0480 2.3371 7.6617
0.0000 -4.6743 7.6617
Sm Hg C Se
8 4 1 3
Cartesian
0.0000 0.0000 5.5476 Sm
-1.8173 -1.0492 13.0618 Sm
0.0000 -2.0984 9.9234 Sm
-1.8173 1.0492 9.9234 Sm
1.8172 -1.0492 13.0618 Sm
0.0000 2.0984 13.0618 Sm
1.8173 1.0492 9.9234 Sm
0.0000 0.0000 17.4375 Sm
0.0000 0.0000 0.0000 Hg
-2.0240 -1.1686 7.6617 Hg
-2.0240 1.1686 15.3234 Hg
0.0000 2.3371 7.6617 Hg
0.0000 0.0000 11.4926 C
-4.0480 0.0000 11.4926 Se
-2.0240 1.1686 3.8308 Se
2.0240 1.1686 3.8309 Se
```


Entry 6:
Entry from the Alexandria database: an optimized crystal structure of TbDy2In (PBE-GGA).

Output
Its energy of formation is -267 meV/atom. For the offset from the most stable computed form, the calculation gives 0.0 kJ per mole of atoms. As for the calculated total energy: -17.6 eV/f.u.

```
TbDy2In
1.0
4.8516 0.0000 0.0000
0.0000 4.8516 0.0000
0.0000 0.0000 4.8457
Tb Dy In
1 2 1
Cartesian
0.0000 0.0000 0.0000 Tb
0.0000 2.4258 2.4228 Dy
2.4258 0.0000 2.4228 Dy
2.4258 2.4258 0.0000 In
```


Entry 7:
Entry from the Alexandria database: an optimized crystal structure of Sm2PdPt2 (PBE-GGA).

Output
Its energy of formation is -1002 meV/atom. For the offset from the most stable computed form, the calculation gives 3.1 kJ per mole of atoms. As for the calculated total energy: -31.7 eV/f.u.

```
Sm2PdPt2
1.0
7.5810 0.0000 0.0000
0.0000 7.5810 0.0000
0.0000 0.0000 7.7107
Sm Pd Pt
8 4 8
Cartesian
1.3130 2.4772 0.0000 Sm
1.3133 2.4775 3.8554 Sm
2.4772 6.2680 0.0000 Sm
2.4775 6.2677 3.8554 Sm
5.1038 1.3130 0.0000 Sm
5.1035 1.3133 3.8554 Sm
6.2680 5.1038 0.0000 Sm
6.2677 5.1035 3.8554 Sm
0.0000 0.0000 1.9151 Pd
0.0000 0.0000 5.7956 Pd
3.7905 3.7905 1.9403 Pd
3.7905 3.7905 5.7705 Pd
0.9894 4.7799 1.9277 Pt
0.9894 4.7799 5.7830 Pt
2.8011 0.9894 1.9277 Pt
2.8011 0.9894 5.7830 Pt
4.7799 6.5916 1.9277 Pt
4.7799 6.5916 5.7830 Pt
6.5916 2.8011 1.9277 Pt
6.5916 2.8011 5.7830 Pt
```